Record 1
Density functional theory data (GGA-PBE) for a geometry-optimized Rb2HfNiI6 structure.

Values from the calculation:
Its formation energy from raw total energies is -0.78 eV/atom. The crystal system is tetragonal. As for the calculated volume: 752 Å³ per cell. Its density of states at the Fermi level is 0.1134 states/eV per atom.

a b c (Å): 8.105 8.105 11.446
angles (deg): 90.00 90.00 90.00
Space group I4/mmm (No. 139)
Inequivalent atoms, fractional coordinates:
1 Rb 0.000 0.500 0.250
2 Hf 0.000 0.000 0.000
3 Ni 0.000 0.000 0.500
4 I 0.000 0.000 0.253
5 I 0.247 0.247 0.500

---

Record 2
Density functional theory data (GGA-PBE) for a geometry-optimized LiPmPbS3 structure.

Values from the calculation:
Its formation energy from raw total energies is -1.32 eV/atom. The crystal system is monoclinic. As for the calculated volume: 290 Å³ per cell. Its density of states at the Fermi level is 0.0000 states/eV per atom.

a b c (Å): 8.438 4.056 8.637
angles (deg): 90.00 100.70 90.00
Space group P2_1/m (No. 11)
Inequivalent atoms, fractional coordinates:
1 Li 0.083 0.250 0.083
2 Pm 0.337 0.750 0.324
3 Pb 0.177 0.250 0.725
4 S 0.116 0.250 0.368
5 S 0.204 0.750 0.006
6 S 0.426 0.750 0.663

---

Record 3
Density functional theory data (GGA-PBE) for a geometry-optimized CsK23Rb6 structure.

Values from the calculation:
The crystal system is cubic. As for the calculated formation energy: 21 meV per atom. As for the calculated volume: 9442 Å³ per cell. Its density of states at the Fermi level is 0.9709 states/eV per atom.

a b c (Å): 21.136 21.136 21.136
angles (deg): 90.00 90.00 90.00
Space group Fm-3m (No. 225)
Inequivalent atoms, fractional coordinates:
1 Cs 0.000 0.000 0.000
2 K 0.000 0.000 0.500
3 K 0.000 0.250 0.250
4 K 0.120 0.120 0.380
5 K 0.164 0.164 0.164
6 Rb 0.000 0.000 0.229

---

Record 4
Density functional theory data (GGA-PBE) for a geometry-optimized ZnTeS2 structure.

Values from the calculation:
Its formation energy from raw total energies is 0.37 eV/atom. The crystal system is cubic. As for the calculated volume: 303 Å³ per cell. Its density of states at the Fermi level is 0.4724 states/eV per atom.

a b c (Å): 6.716 6.716 6.716
angles (deg): 90.00 90.00 90.00
Space group Fm-3m (No. 225)
Inequivalent atoms, fractional coordinates:
1 Zn 0.000 0.000 0.000
2 Te 0.000 0.000 0.500
3 S 0.250 0.250 0.250

---

Record 5
Density functional theory data (GGA-PBE) for a geometry-optimized Pr2MgBi4 structure.

Values from the calculation:
The crystal system is tetragonal. As for the calculated formation energy: -580 meV per atom. As for the calculated volume: 227 Å³ per cell. Its density of states at the Fermi level is 0.3404 states/eV per atom.

a b c (Å): 4.575 4.575 10.843
angles (deg): 90.00 90.00 90.00
Space group P-4m2 (No. 115)
Inequivalent atoms, fractional coordinates:
1 Pr 0.000 0.500 0.240
2 Mg 0.000 0.000 0.500
3 Bi 0.000 0.000 0.000
4 Bi 0.000 0.500 0.671
5 Bi 0.500 0.500 0.000

---

Record 6
Density functional theory data (GGA-PBE) for a geometry-optimized BeC structure.

Values from the calculation:
The crystal system is hexagonal. As for the calculated formation energy: 1193 meV per atom. As for the calculated volume: 29 Å³ per cell. Its density of states at the Fermi level is 0.4487 states/eV per atom.

a b c (Å): 2.8335 2.8335 4.1011
angles (deg): 90.00 90.00 120.00
Space group P6_3/mmc (No. 194)
Inequivalent atoms, fractional coordinates:
1 Be 0.0000 0.0000 0.0000
2 C 0.3333 0.6667 0.2500

---

Record 7
Density functional theory data (GGA-PBE) for a geometry-optimized Pr4CuOs structure.

Values from the calculation:
The crystal system is cubic. As for the calculated formation energy: -31 meV per atom. As for the calculated volume: 2740 Å³ per cell. Its density of states at the Fermi level is 0.9768 states/eV per atom.

a b c (Å): 13.994 13.994 13.994
angles (deg): 90.00 90.00 90.00
Space group F-43m (No. 216)
Inequivalent atoms, fractional coordinates:
1 Pr 0.000 0.000 0.190
2 Pr 0.057 0.250 0.750
3 Pr 0.100 0.100 0.400
4 Cu 0.158 0.158 0.158
5 Os 0.111 0.111 0.611

---

Record 8
Density functional theory data (GGA-PBE) for a geometry-optimized ScTa2Os structure.

Values from the calculation:
The crystal system is orthorhombic. As for the calculated formation energy: -1 meV per atom. As for the calculated volume: 143 Å³ per cell. Its density of states at the Fermi level is 1.2032 states/eV per atom.

a b c (Å): 3.303 4.752 9.110
angles (deg): 90.00 90.00 90.00
Space group Cmm2 (No. 35)
Inequivalent atoms, fractional coordinates:
1 Sc 0.000 0.000 0.000
2 Ta 0.000 0.000 0.463
3 Ta 0.000 0.500 0.715
4 Os 0.000 0.500 0.235

---

Record 9
Density functional theory data (GGA-PBE) for a geometry-optimized La3Dy5In2 structure.

Values from the calculation:
The crystal system is orthorhombic. As for the calculated formation energy: 13 meV per atom. As for the calculated volume: 1335 Å³ per cell. Its density of states at the Fermi level is 1.4875 states/eV per atom.

a b c (Å): 13.083 15.635 6.526
angles (deg): 90.00 90.00 90.00
Space group Ibam (No. 72)
Inequivalent atoms, fractional coordinates:
1 La 0.000 0.000 0.250
2 La 0.122 0.239 0.000
3 Dy 0.000 0.500 0.250
4 Dy 0.115 0.337 0.500
5 Dy 0.245 0.500 0.250
6 In 0.140 0.147 0.500

---

Record 10
Density functional theory data (GGA-PBE) for a geometry-optimized CsIrPd3 structure.

Values from the calculation:
The crystal system is cubic. As for the calculated formation energy: 2181 meV per atom. As for the calculated volume: 136 Å³ per cell. Its density of states at the Fermi level is 0.9822 states/eV per atom.

a b c (Å): 5.147 5.147 5.147
angles (deg): 90.00 90.00 90.00
Space group Pm-3m (No. 221)
Inequivalent atoms, fractional coordinates:
1 Cs 0.000 0.000 0.000
2 Ir 0.500 0.500 0.500
3 Pd 0.000 0.000 0.500

---

Record 11
Density functional theory data (GGA-PBE) for a geometry-optimized BaCoNi2 structure.

Values from the calculation:
The crystal system is tetragonal. As for the calculated formation energy: 839 meV per atom. As for the calculated volume: 142 Å³ per cell. Its density of states at the Fermi level is 2.4456 states/eV per atom.

a b c (Å): 4.295 4.295 7.689
angles (deg): 90.00 90.00 90.00
Space group I4/mmm (No. 139)
Inequivalent atoms, fractional coordinates:
1 Ba 0.000 0.000 0.000
2 Co 0.000 0.000 0.500
3 Ni 0.000 0.500 0.250

---

Record 12
Density functional theory data (GGA-PBE) for a geometry-optimized CaTeC structure.

Values from the calculation:
Its formation energy from raw total energies is -0.39 eV/atom. The crystal system is triclinic. As for the calculated volume: 162 Å³ per cell.

a b c (Å): 4.429 6.251 6.276
angles (deg): 89.96 72.11 78.44
Space group P1 (No. 1)
Inequivalent atoms, fractional coordinates:
1 Ca 0.000 0.000 0.000
2 Ca 0.443 0.329 0.558
3 Te 0.359 0.407 0.083
4 Te 0.692 0.684 0.779
5 C 0.012 0.080 0.396
6 C 0.043 0.086 0.590